Material: CuHg2Mo
Method: DFT, PBE-GGA
State: relaxed Values from VASP.

```
&SYSTEM
  ibrav = 0, nat = 4, ntyp = 3
/
ATOMIC_SPECIES
Cu 63.55 Cu.upf
Hg 200.59 Hg.upf
Mo 95.94 Mo.upf
CELL_PARAMETERS angstrom
5.463 -1.389 0.000
5.463 1.389 0.000
-2.099 0.000 4.769
ATOMIC_POSITIONS crystal
Cu 0.000 0.000 0.000
Hg 0.535 0.535 0.524
Hg 0.760 0.760 0.108
Mo 0.288 0.288 0.622
```

Calculated values
**Energy relative to the lowest polymorph listed for this composition**: 93 meV/atom
**DOS at the Fermi energy**: 0.626 states/eV per atom
**Formation energy from the elements**: 0.497 eV per atom
**Total DFT energy (no corrections)**: -0.2488 Ry/atom

Material: Pr7Y2
Method: DFT, PBE-GGA
State: relaxed Values from VASP.

```
&SYSTEM
  ibrav = 0, nat = 9, ntyp = 2
/
ATOMIC_SPECIES
Pr 140.91 Pr.upf
Y 88.91 Y.upf
CELL_PARAMETERS angstrom
10.109 0.000 0.000
-5.054 8.754 0.000
0.000 0.000 3.605
ATOMIC_POSITIONS crystal
Pr 0.000 0.000 0.000
Pr 0.000 0.361 0.000
Pr 0.000 0.691 0.500
Pr 0.309 0.309 0.500
Pr 0.361 0.000 0.000
Pr 0.639 0.639 0.000
Pr 0.691 0.000 0.500
Y 0.333 0.667 0.500
Y 0.667 0.333 0.500
```

Calculated values
**Energy relative to the lowest polymorph listed for this composition**: 23 meV/atom
**DOS at the Fermi energy**: 1.487 states/eV per atom
**Formation energy from the elements**: 0.036 eV per atom
**Total DFT energy (no corrections)**: -0.3761 Ry/atom

Material: PmNd3Sn
Method: DFT, PBE-GGA
State: relaxed Values from VASP.

```
&SYSTEM
  ibrav = 0, nat = 10, ntyp = 3
/
ATOMIC_SPECIES
Pm 145.00 Pm.upf
Nd 144.24 Nd.upf
Sn 118.71 Sn.upf
CELL_PARAMETERS angstrom
4.134 -7.958 0.000
4.134 7.958 0.000
0.000 0.000 5.296
ATOMIC_POSITIONS crystal
Pm 0.091 0.909 0.000
Pm 0.909 0.091 0.000
Nd 0.000 0.500 0.000
Nd 0.163 0.837 0.500
Nd 0.326 0.326 0.000
Nd 0.500 0.000 0.000
Nd 0.674 0.674 0.000
Nd 0.837 0.163 0.500
Sn 0.366 0.634 0.500
Sn 0.634 0.366 0.500
```

Calculated values
**DOS at the Fermi energy**: 0.902 states/eV per atom
**Formation energy from the elements**: 0.285 eV per atom
**Total DFT energy (no corrections)**: -0.3180 Ry/atom

Material: YHgI2
Method: DFT, PBE-GGA
State: relaxed Values from VASP.

```
&SYSTEM
  ibrav = 0, nat = 4, ntyp = 3
/
ATOMIC_SPECIES
Y 88.91 Y.upf
Hg 200.59 Hg.upf
I 126.90 I.upf
CELL_PARAMETERS angstrom
2.058 1.188 12.245
-2.058 1.188 12.245
0.000 -2.376 12.245
ATOMIC_POSITIONS crystal
Y 0.000 0.000 0.000
Hg 0.500 0.500 0.500
I 0.387 0.387 0.387
I 0.613 0.613 0.613
```

Calculated values
**Formation energy from raw total energies**: -893.8 meV per atom
**Energy relative to the lowest polymorph listed for this composition**: 0 meV/atom
**DOS at the Fermi energy**: 0.444 states/eV per atom
**Total DFT energy (no corrections)**: -0.2470 Ry/atom

Material: LiMnPd3
Method: DFT, PBE-GGA
State: relaxed Values from VASP.

```
&SYSTEM
  ibrav = 0, nat = 5, ntyp = 3
/
ATOMIC_SPECIES
Li 6.94 Li.upf
Mn 54.94 Mn.upf
Pd 106.42 Pd.upf
CELL_PARAMETERS angstrom
4.184 0.000 0.000
0.000 4.184 0.000
0.000 0.000 4.184
ATOMIC_POSITIONS crystal
Li 0.000 0.000 0.000
Mn 0.500 0.500 0.500
Pd 0.000 0.000 0.500
Pd 0.000 0.500 0.000
Pd 0.500 0.000 0.000
```

Calculated values
**Energy relative to the lowest polymorph listed for this composition**: 929 meV/atom
**DOS at the Fermi energy**: 1.846 states/eV per atom
**Formation energy from the elements**: 0.664 eV per atom
**Total DFT energy (no corrections)**: -0.3431 Ry/atom

Material: Nd2ErSi3Ni12
Method: DFT, PBE-GGA
State: relaxed Values from VASP.

```
&SYSTEM
  ibrav = 0, nat = 18, ntyp = 4
/
ATOMIC_SPECIES
Nd 144.24 Nd.upf
Er 167.26 Er.upf
Si 28.09 Si.upf
Ni 58.69 Ni.upf
CELL_PARAMETERS angstrom
4.329 2.499 3.965
-4.329 2.499 3.965
0.000 -4.999 3.965
ATOMIC_POSITIONS crystal
Nd 0.151 0.151 0.151
Nd 0.849 0.849 0.849
Er 0.500 0.500 0.500
Si 0.000 0.500 0.500
Si 0.500 0.000 0.500
Si 0.500 0.500 0.000
Ni 0.120 0.120 0.588
Ni 0.120 0.588 0.120
Ni 0.192 0.691 0.691
Ni 0.309 0.309 0.808
Ni 0.309 0.808 0.309
Ni 0.412 0.880 0.880
Ni 0.588 0.120 0.120
Ni 0.691 0.192 0.691
Ni 0.691 0.691 0.192
Ni 0.808 0.309 0.309
Ni 0.880 0.412 0.880
Ni 0.880 0.880 0.412
```

Calculated values
**Formation energy from raw total energies**: -169.3 meV per atom
**DOS at the Fermi energy**: 0.695 states/eV per atom
**Total DFT energy (no corrections)**: -0.4197 Ry/atom

Material: CaCrAu
Method: DFT, PBE-GGA
State: relaxed Values from VASP.

```
&SYSTEM
  ibrav = 0, nat = 3, ntyp = 3
/
ATOMIC_SPECIES
Ca 40.08 Ca.upf
Cr 52.00 Cr.upf
Au 196.97 Au.upf
CELL_PARAMETERS angstrom
-1.797 1.818 5.155
1.797 -1.818 5.155
1.797 1.818 -5.155
ATOMIC_POSITIONS crystal
Ca 0.000 0.000 0.000
Cr 0.702 0.702 0.000
Au 0.316 0.316 0.000
```

Calculated values
**Energy relative to the lowest polymorph listed for this composition**: 35 meV/atom
**DOS at the Fermi energy**: 0.859 states/eV per atom
**Formation energy from the elements**: 0.034 eV per atom
**Total DFT energy (no corrections)**: -0.3626 Ry/atom

Material: Er7Cd2Ru2
Method: DFT, PBE-GGA
State: relaxed Values from VASP.

```
&SYSTEM
  ibrav = 0, nat = 11, ntyp = 3
/
ATOMIC_SPECIES
Er 167.26 Er.upf
Cd 112.41 Cd.upf
Ru 101.07 Ru.upf
CELL_PARAMETERS angstrom
-1.862 8.267 4.701
1.862 -8.267 4.701
1.862 8.267 -4.701
ATOMIC_POSITIONS crystal
Er 0.000 0.000 0.000
Er 0.298 0.433 0.864
Er 0.311 0.627 0.683
Er 0.569 0.433 0.136
Er 0.615 0.266 0.348
Er 0.918 0.266 0.652
Er 0.944 0.627 0.317
Cd 0.272 0.772 0.500
Cd 0.668 0.668 0.000
Ru 0.167 0.924 0.243
Ru 0.681 0.924 0.757
```

Calculated values
**Energy relative to the lowest polymorph listed for this composition**: 0 meV/atom
**DOS at the Fermi energy**: 1.221 states/eV per atom
**Formation energy from the elements**: -0.293 eV per atom
**Total DFT energy (no corrections)**: -0.3711 Ry/atom

> The lowest total DFT energy (no corrections) belongs to which entry?

Nd2ErSi3Ni12